VSnF3 | PBE+U | optimized geometry

Output
Crystal system: cubic
Theoretical density in g cm⁻³: 3.78
DFT total energy in eV per atom: -4.57
Magnetic moment in μB/atom: 0.80

Unit cell a=4.635 b=4.635 c=4.635 alpha=90.00 beta=90.00 gamma=90.00
Space group Pm-3m (No. 221)
Unique sites:
V 0.000 0.000 0.000
Sn 0.500 0.500 0.500
F 0.000 0.500 0.500